Record 1
GGA-PBE Cs2PrTiS4, relaxed; DOS at the Fermi energy = 0.420 states/eV/atom; raw formation energy = -1.3412 eV/atom; crystal system = orthorhombic
1.0
-1.039 -6.333 -1.446
6.730 -4.483 -0.170
-1.980 -5.843 12.046
Cs Pr Ti S
4 2 2 8
direct
0.180 0.000 0.640 Cs
0.820 0.000 0.360 Cs
0.570 0.500 0.860 Cs
0.930 0.500 0.140 Cs
0.750 0.500 0.500 Pr
0.000 0.000 0.000 Pr
0.250 0.500 0.500 Ti
0.500 0.000 0.000 Ti
0.340 0.809 0.098 S
0.247 0.191 0.902 S
0.851 0.809 0.902 S
0.562 0.191 0.098 S
0.410 0.691 0.402 S
0.503 0.309 0.598 S
0.899 0.691 0.598 S
0.188 0.309 0.402 S

Record 2
GGA-PBE Pa3Ga3Tc2Pd, relaxed; DOS at the Fermi energy = 0.842 states/eV/atom; crystal system = hexagonal; formation energy = -0.538 eV per atom
1.0
3.993 0.000 0.000
0.000 7.083 0.000
0.000 -3.542 6.134
Pa Ga Tc Pd
3 3 2 1
direct
0.000 0.000 0.426 Pa
0.000 0.574 0.574 Pa
0.000 0.426 0.000 Pa
0.500 0.758 0.000 Ga
0.500 0.242 0.242 Ga
0.500 0.000 0.758 Ga
0.500 0.333 0.667 Tc
0.500 0.667 0.333 Tc
0.000 0.000 0.000 Pd

Record 3
GGA-PBE UTl2Cu2Se6, relaxed; DOS at the Fermi energy = 0.936 states/eV/atom; raw formation energy = -0.3745 eV/atom; crystal system = trigonal
1.0
7.280 0.000 0.000
-3.640 6.304 0.000
0.000 0.000 6.853
U Tl Cu Se
1 2 2 6
direct
0.000 0.000 0.000 U
0.667 0.333 0.817 Tl
0.333 0.667 0.183 Tl
0.333 0.667 0.768 Cu
0.667 0.333 0.232 Cu
0.060 0.313 0.746 Se
0.687 0.747 0.746 Se
0.253 0.940 0.746 Se
0.940 0.687 0.254 Se
0.313 0.253 0.254 Se
0.747 0.060 0.254 Se

Record 4
GGA-PBE Zr3ICl, relaxed; DOS at the Fermi energy = 1.200 states/eV/atom; raw formation energy = 0.2273 eV/atom; crystal system = cubic
1.0
-4.303 -2.231 0.688
0.643 -2.519 -4.149
2.245 -3.556 2.507
I Zr Cl
1 3 1
direct
0.500 0.500 0.500 I
0.000 0.500 0.000 Zr
0.000 0.000 0.500 Zr
0.500 0.000 0.000 Zr
0.000 0.000 0.000 Cl

Record 5
GGA-PBE SiRu2, relaxed; DOS at the Fermi energy = 0.561 states/eV/atom; raw formation energy = -0.3343 eV/atom; crystal system = monoclinic
1.0
1.412 4.459 0.006
-1.412 4.459 0.006
0.000 2.926 6.351
Si Ru
2 4
direct
0.685 0.685 0.386 Si
0.315 0.315 0.614 Si
0.009 0.009 0.700 Ru
0.343 0.343 0.067 Ru
0.657 0.657 0.933 Ru
0.991 0.991 0.300 Ru

Record 6
GGA-PBE Li8CdHg2, relaxed; DOS at the Fermi energy = 0.329 states/eV/atom; crystal system = monoclinic; formation energy = -0.241 eV per atom
1.0
-3.417 -2.763 -0.377
2.305 -3.552 5.136
-2.738 6.556 2.558
Li Cd Hg
8 1 2
direct
0.601 0.457 0.202 Li
0.320 0.094 0.640 Li
0.144 0.198 0.288 Li
0.043 0.737 0.085 Li
0.856 0.802 0.712 Li
0.680 0.906 0.360 Li
0.399 0.543 0.798 Li
0.957 0.263 0.915 Li
0.500 0.000 0.000 Cd
0.220 0.655 0.440 Hg
0.780 0.345 0.560 Hg

Record 7
GGA-PBE SrLaBr5, relaxed; DOS at the Fermi energy = 0.000 states/eV/atom; raw formation energy = -2.0086 eV/atom; crystal system = monoclinic
1.0
-3.958 -0.268 -2.067
-2.307 -6.232 5.226
-5.493 9.104 9.335
Sr La Br
2 2 10
direct
0.750 0.081 0.859 Sr
0.250 0.919 0.141 Sr
0.250 0.423 0.651 La
0.750 0.577 0.349 La
0.250 0.075 0.683 Br
0.750 0.144 0.073 Br
0.750 0.318 0.518 Br
0.250 0.356 0.860 Br
0.250 0.371 0.294 Br
0.750 0.629 0.706 Br
0.750 0.644 0.140 Br
0.250 0.682 0.482 Br
0.250 0.856 0.927 Br
0.750 0.925 0.317 Br

Record 8
GGA-PBE CrAu, relaxed; DOS at the Fermi energy = 1.319 states/eV/atom; crystal system = trigonal; formation energy = 0.454 eV per atom
1.0
4.708 0.002 0.001
3.770 2.820 0.001
3.770 1.255 2.525
Cr Au
1 1
direct
0.500 0.500 0.500 Cr
0.000 0.000 0.000 Au